(1)
Entry from the Alexandria database: a geometry-optimized NdHoOs structure (PBE).

The structure in extended XYZ format:
```
3
Lattice="3.436 0.000 0.000 0.000 3.436 0.000 -1.718 -1.718 6.747" Properties=species:S:1:pos:R:3 pbc="T T T"
Nd 0.000 0.000 0.537
Os 1.718 1.718 2.305
Ho 0.000 0.000 3.905
```

Results
* formation energy from the elements: -0.14 eV per atom
* V: 26.55 A^3/atom
* symmetry: I4mm
* offset from the most stable computed form: 0.0 meV/atom

(2)
Entry from the Alexandria database: a geometry-optimized NdHoOs structure (PBE).

The structure in extended XYZ format:
```
3
Lattice="4.844 0.000 0.000 2.422 4.195 0.000 2.422 1.398 3.955" Properties=species:S:1:pos:R:3 pbc="T T T"
Nd 4.844 2.796 1.977
Os 2.422 1.398 0.989
Ho 0.000 0.000 0.000
```

Results
* formation energy from the elements: -0.12 eV per atom
* V: 26.78 A^3/atom
* symmetry: F-43m
* offset from the most stable computed form: 11.4 meV/atom

(3)
Entry from the Alexandria database: a geometry-optimized NdHo2Os structure (PBE).

The structure in extended XYZ format:
```
16
Lattice="6.414 0.000 0.000 0.000 7.464 0.000 0.000 0.000 9.092" Properties=species:S:1:pos:R:3 pbc="T T T"
Nd 4.032 4.026 2.273
Nd 5.590 0.294 2.273
Nd 2.383 3.438 6.819
Nd 0.824 7.170 6.819
Ho 1.051 5.031 0.586
Ho 2.156 1.298 3.960
Ho 5.363 2.434 5.132
Ho 4.258 6.166 8.505
Ho 5.363 2.434 8.505
Ho 4.258 6.166 5.132
Ho 1.051 5.031 3.960
Ho 2.156 1.298 0.586
Os 0.330 2.865 2.273
Os 2.877 6.597 2.273
Os 6.084 4.599 6.819
Os 3.538 0.867 6.819
```

Results
* formation energy from the elements: -0.21 eV per atom
* V: 27.21 A^3/atom
* symmetry: Pnma
* offset from the most stable computed form: 0.0 meV/atom

(4)
Entry from the Alexandria database: a geometry-optimized Nd2HoOs structure (PBE).

The structure in extended XYZ format:
```
16
Lattice="6.457 0.000 0.000 0.000 7.455 0.000 0.000 0.000 9.486" Properties=species:S:1:pos:R:3 pbc="T T T"
Nd 1.107 5.039 0.610
Nd 2.122 1.311 4.133
Nd 5.350 2.416 5.353
Nd 4.335 6.144 8.876
Nd 5.350 2.416 8.876
Nd 4.335 6.144 5.353
Nd 1.107 5.039 4.133
Nd 2.122 1.311 0.610
Ho 4.140 4.050 2.372
Ho 5.545 0.323 2.372
Ho 2.317 3.405 7.115
Ho 0.912 7.132 7.115
Os 0.224 2.861 2.372
Os 3.005 6.588 2.372
Os 6.233 4.594 7.115
Os 3.452 0.866 7.115
```

Results
* formation energy from the elements: -0.15 eV per atom
* V: 28.54 A^3/atom
* symmetry: Pnma
* offset from the most stable computed form: 0.0 meV/atom

(5)
Entry from the Alexandria database: a geometry-optimized Nd2HoOs structure (PBE).

The structure in extended XYZ format:
```
8
Lattice="4.091 -0.001 0.000 -2.046 6.019 0.000 0.000 0.000 9.240" Properties=species:S:1:pos:R:3 pbc="T T T"
Nd -0.001 4.314 5.240
Nd 2.046 1.704 4.000
Nd -0.001 4.314 8.621
Nd 2.046 1.704 0.620
Ho 2.045 5.056 2.310
Ho 0.000 0.962 6.930
Os 2.046 2.868 6.930
Os -0.001 3.150 2.310
```

Results
* formation energy from the elements: -0.13 eV per atom
* V: 28.44 A^3/atom
* symmetry: Cmcm
* offset from the most stable computed form: 16.5 meV/atom

(6)
Entry from the Alexandria database: a geometry-optimized NdHo2Os structure (PBE).

The structure in extended XYZ format:
```
4
Lattice="-0.245 -2.307 2.572 0.472 -3.370 -0.646 10.793 -0.779 2.660" Properties=species:S:1:pos:R:3 pbc="T T T"
Nd 0.000 0.000 0.000
Os 5.510 -3.228 2.293
Ho 7.355 -1.136 2.013
Ho 3.665 -5.320 2.574
```

Results
* formation energy from the elements: 0.24 eV per atom
* V: 28.47 A^3/atom
* symmetry: R-3m
* offset from the most stable computed form: 452.2 meV/atom

(7)
Entry from the Alexandria database: a geometry-optimized NdHo2Os structure (PBE).

The structure in extended XYZ format:
```
4
Lattice="-3.375 -0.229 -0.456 0.265 -3.393 -0.257 -1.184 -0.786 9.166" Properties=species:S:1:pos:R:3 pbc="T T T"
Nd -2.147 -2.204 4.227
Os -1.555 -1.811 -0.356
Ho -0.975 -0.647 7.545
Ho -0.209 -0.139 1.621
```

Results
* formation energy from the elements: -0.15 eV per atom
* V: 27.01 A^3/atom
* symmetry: P4/mmm
* offset from the most stable computed form: 62.8 meV/atom

(8)
Entry from the Alexandria database: a geometry-optimized NdHoOs4 structure (PBE).

The structure in extended XYZ format:
```
6
Lattice="5.396 0.000 0.000 2.698 4.673 0.000 2.698 1.558 4.406" Properties=species:S:1:pos:R:3 pbc="T T T"
Nd 2.698 1.558 1.101
Os 5.396 3.116 0.548
Os 5.396 1.555 2.755
Os 6.748 3.896 2.755
Os 4.045 3.896 2.755
Ho 0.000 0.000 0.000
```

Results
* formation energy from the elements: -0.17 eV per atom
* V: 18.52 A^3/atom
* symmetry: F-43m

Which value of V does entry 6 give?
28.47 A^3/atom

Among the records above, which one has the lowest formation energy from the elements?
number 3